Here is a crystal of RbNiH2 relaxed with PBEsol from Alexandria via LeMat-Bulk. Energies are from SCAN.

Computed properties:
- calculated volume (Å³/cell) = 230.24
- mass density (Mg/m³) = 4.217
- raw total energy (eV for the cell shown) = -157.52
- space group = Fm-3m
- total moment (μB per formula unit) = 1.4

abc: 6.129 6.129 6.129
angles: 90.00 90.00 90.00
Fractional coordinates of all 16 atoms:
Rb 0.000 0.000 0.000
Rb 0.000 0.500 0.500
Rb 0.500 0.000 0.500
Rb 0.500 0.500 0.000
Ni 0.000 0.000 0.500
Ni 0.000 0.500 0.000
Ni 0.500 0.000 0.000
Ni 0.500 0.500 0.500
H 0.250 0.250 0.250
H 0.250 0.250 0.750
H 0.250 0.750 0.250
H 0.250 0.750 0.750
H 0.750 0.250 0.250
H 0.750 0.250 0.750
H 0.750 0.750 0.250
H 0.750 0.750 0.750